Entry 1:
! Ba2LiWN, optimized geometry, DFT PBE-GGA; values from VASP
&SYSTEM
  ibrav = 0, nat = 5, ntyp = 4
/
ATOMIC_SPECIES
Li 6.94 Li.upf
Ba 137.33 Ba.upf
W 183.84 W.upf
N 14.01 N.upf
CELL_PARAMETERS angstrom
5.764 0.000 0.000
0.000 4.537 0.000
0.000 0.000 5.764
ATOMIC_POSITIONS crystal
Li 0.000 0.000 0.000
Ba 0.000 0.000 0.500
Ba 0.500 0.000 0.000
W 0.000 0.500 0.000
N 0.500 0.500 0.500
! formation energy (no corrections) = 1763 meV per atom
! mass density = 5.3 Mg/m³
! total moment = 2.39 μB/cell

Entry 2:
! AcHoEr2Tl4, optimized geometry, DFT PBE-GGA; values from VASP
&SYSTEM
  ibrav = 0, nat = 8, ntyp = 4
/
ATOMIC_SPECIES
Ac 227.00 Ac.upf
Ho 164.93 Ho.upf
Er 167.26 Er.upf
Tl 204.38 Tl.upf
CELL_PARAMETERS angstrom
5.463 0.000 0.000
2.732 4.731 0.000
2.732 1.577 9.034
ATOMIC_POSITIONS crystal
Ac 0.000 0.000 0.000
Ho 0.500 0.500 0.500
Er 0.752 0.752 0.744
Er 0.248 0.248 0.256
Tl 0.381 0.381 0.858
Tl 0.871 0.871 0.386
Tl 0.129 0.129 0.614
Tl 0.619 0.619 0.142
! mass density = 11.0 Mg/m³
! formation energy from the elements = -2.38 eV per formula unit
! total moment = 0.00 μB/cell

Entry 3:
! Cs2RbSn2Cl7, optimized geometry, DFT PBE-GGA; values from VASP
&SYSTEM
  ibrav = 0, nat = 12, ntyp = 4
/
ATOMIC_SPECIES
Cs 132.91 Cs.upf
Rb 85.47 Rb.upf
Sn 118.71 Sn.upf
Cl 35.45 Cl.upf
CELL_PARAMETERS angstrom
5.615 -0.004 0.011
0.003 5.615 0.011
2.783 2.780 14.272
ATOMIC_POSITIONS crystal
Cs 0.818 0.818 0.363
Cs 0.182 0.182 0.637
Rb 0.000 0.000 0.000
Sn 0.600 0.600 0.801
Sn 0.400 0.400 0.199
Cl 0.500 0.500 0.000
Cl 0.304 0.304 0.395
Cl 0.696 0.696 0.605
Cl 0.903 0.404 0.191
Cl 0.404 0.903 0.191
Cl 0.596 0.097 0.809
Cl 0.097 0.596 0.809
! formation energy (no corrections) = -1516 meV per atom
! mass density = 3.1 Mg/m³
! total moment = 0.00 μB/cell

Entry 4:
! LiHfU2S4, optimized geometry, DFT PBE-GGA; values from VASP
&SYSTEM
  ibrav = 0, nat = 8, ntyp = 4
/
ATOMIC_SPECIES
Li 6.94 Li.upf
Hf 178.49 Hf.upf
U 238.03 U.upf
S 32.06 S.upf
CELL_PARAMETERS angstrom
-2.259 2.235 -1.886
-3.966 0.274 5.074
4.437 4.931 0.529
ATOMIC_POSITIONS crystal
Li 0.500 0.500 0.000
Hf 0.000 0.000 0.000
U 0.500 0.000 0.500
U 0.000 0.500 0.500
S 0.500 0.246 0.227
S 0.500 0.754 0.773
S 0.000 0.260 0.775
S 0.000 0.740 0.225
! formation energy (no corrections) = -1375 meV per atom
! mass density = 8.7 Mg/m³
! total moment = 5.20 μB/cell

Entry 5:
! Ba2NaCaPd, optimized geometry, DFT PBE-GGA; values from VASP
&SYSTEM
  ibrav = 0, nat = 5, ntyp = 4
/
ATOMIC_SPECIES
Na 22.99 Na.upf
Ca 40.08 Ca.upf
Ba 137.33 Ba.upf
Pd 106.42 Pd.upf
CELL_PARAMETERS angstrom
6.317 0.000 0.000
0.000 6.317 0.000
0.000 0.000 5.769
ATOMIC_POSITIONS crystal
Na 0.500 0.500 0.500
Ca 0.000 0.000 0.500
Ba 0.000 0.500 0.000
Ba 0.500 0.000 0.000
Pd 0.000 0.000 0.000
! mass density = 3.2 Mg/m³
! formation energy from the elements = -1.34 eV per formula unit
! total moment = 0.00 μB/cell

Entry 6:
! PrMgSn, optimized geometry, DFT PBE-GGA; values from VASP
&SYSTEM
  ibrav = 0, nat = 6, ntyp = 3
/
ATOMIC_SPECIES
Mg 24.30 Mg.upf
Sn 118.71 Sn.upf
Pr 140.91 Pr.upf
CELL_PARAMETERS angstrom
-3.305 -3.672 1.931
3.795 1.509 3.385
-3.910 4.719 2.280
ATOMIC_POSITIONS crystal
Mg 0.000 0.000 0.500
Mg 0.000 0.000 0.000
Sn 0.307 0.693 0.250
Sn 0.693 0.307 0.750
Pr 0.339 0.661 0.750
Pr 0.661 0.339 0.250
! mass density = 5.6 Mg/m³
! formation energy from the elements = -1.38 eV per formula unit
! total moment = 0.00 μB/cell

Entry 7:
! Tb2PmYAs4, optimized geometry, DFT PBE-GGA; values from VASP
&SYSTEM
  ibrav = 0, nat = 8, ntyp = 4
/
ATOMIC_SPECIES
Tb 158.93 Tb.upf
Pm 145.00 Pm.upf
Y 88.91 Y.upf
As 74.92 As.upf
CELL_PARAMETERS angstrom
-1.643 -0.935 3.709
6.554 0.295 2.978
-3.063 6.516 0.285
ATOMIC_POSITIONS crystal
Tb 0.500 0.000 0.500
Tb 0.000 0.500 0.500
Pm 0.500 0.500 0.000
Y 0.000 0.000 0.000
As 0.500 0.248 0.252
As 0.500 0.752 0.748
As 0.000 0.246 0.746
As 0.000 0.754 0.254
! mass density = 6.9 Mg/m³
! formation energy from the elements = -12.31 eV per formula unit
! total moment = 0.00 μB/cell

Entry 8:
! PmPrGdAg, optimized geometry, DFT PBE-GGA; values from VASP
&SYSTEM
  ibrav = 0, nat = 4, ntyp = 4
/
ATOMIC_SPECIES
Pr 140.91 Pr.upf
Gd 157.25 Gd.upf
Ag 107.87 Ag.upf
Pm 145.00 Pm.upf
CELL_PARAMETERS angstrom
5.471 0.000 0.000
2.736 4.738 0.000
2.736 1.579 4.467
ATOMIC_POSITIONS crystal
Pr 0.750 0.750 0.750
Gd 0.250 0.250 0.250
Ag 0.500 0.500 0.500
Pm 0.000 0.000 0.000
! mass density = 7.9 Mg/m³
! formation energy from the elements = 0.32 eV per formula unit
! total moment = 9.14 μB/cell